Compound: Rb2CaGeSe4
Source: the Alexandria database
Functional: PBE
Structure: relaxed

V	38.45	Å³ per atom
E_tot	-3.83	eV/atom
raw formation energy	-1015.1	meV per atom
total magnetic moment	0.00	μB/cell

Structure (POSCAR):
```
Rb2CaGeSe4
1.0
8.689 0.000 0.000
0.000 9.698 0.000
0.000 0.000 7.301
Rb Ca Ge Se
4 2 2 8
Cartesian
1.981 1.514 0.000
2.364 8.184 3.650
6.325 8.184 3.650
6.709 1.514 0.000
0.000 3.719 3.464
4.345 5.980 7.114
0.000 6.440 6.978
4.345 3.258 3.328
0.000 4.268 0.639
0.000 6.237 4.624
1.990 7.732 0.207
2.355 1.966 3.857
4.345 3.461 0.974
4.345 5.430 4.289
6.334 1.966 3.857
6.700 7.732 0.207
```